1.
# MnAl2Pd6 (PBE-GGA, relaxed)
# E_form: -0.43 eV per atom
# Density of states at the Fermi level: 2.355 states/eV/f.u.
# Calculated volume: 16.7 Å³ per atom
data_MnAl2Pd6
_chemical_formula_sum 'Mn2 Al4 Pd12'
_space_group_name_H-M_alt 'C 1 2/m 1'
_space_group_IT_number 12
_space_group_name_Hall '-C 2y'
_cell_length_a 13.113
_cell_length_b 5.880
_cell_length_c 4.112
_cell_angle_alpha 90.00
_cell_angle_beta 108.11
_cell_angle_gamma 90.00
loop_
_atom_site_label
_atom_site_type_symbol
_atom_site_fract_x
_atom_site_fract_y
_atom_site_fract_z
Mn1 Mn 0.000 0.000 0.000
Al1 Al 0.167 0.500 0.668
Pd1 Pd 0.000 0.258 0.500
Pd2 Pd 0.169 0.253 0.169

***

2.
# Mn3AlPd6 (PBE-GGA, relaxed)
# E_form: -0.38 eV per atom
# Density of states at the Fermi level: 3.207 states/eV/f.u.
# Calculated volume: 15.1 Å³ per atom
data_Mn3AlPd6
_chemical_formula_sum 'Mn6 Al2 Pd12'
_space_group_name_H-M_alt 'P 1 21/m 1'
_space_group_IT_number 11
_space_group_name_Hall '-P 2yb'
_cell_length_a 7.425
_cell_length_b 4.506
_cell_length_c 9.588
_cell_angle_alpha 90.00
_cell_angle_beta 110.19
_cell_angle_gamma 90.00
loop_
_atom_site_label
_atom_site_type_symbol
_atom_site_fract_x
_atom_site_fract_y
_atom_site_fract_z
Mn1 Mn 0.034 0.250 0.381
Mn2 Mn 0.127 0.750 0.211
Mn3 Mn 0.279 0.250 0.985
Al1 Al 0.453 0.250 0.590
Pd1 Pd 0.037 0.750 0.918
Pd2 Pd 0.161 0.250 0.676
Pd3 Pd 0.256 0.750 0.504
Pd4 Pd 0.347 0.750 0.821
Pd5 Pd 0.351 0.250 0.303
Pd6 Pd 0.428 0.750 0.131

***

3.
# MnAl6Pd12 (PBE-GGA, relaxed)
# E_form: -0.46 eV per atom
# Density of states at the Fermi level: 4.159 states/eV/f.u.
# Calculated volume: 17.4 Å³ per atom
data_MnAl6Pd12
_chemical_formula_sum 'Mn3 Al18 Pd36'
_space_group_name_H-M_alt 'R -3'
_space_group_IT_number 148
_space_group_name_Hall '-R 3'
_cell_length_a 10.8162
_cell_length_b 10.8162
_cell_length_c 9.7666
_cell_angle_alpha 90.00
_cell_angle_beta 90.00
_cell_angle_gamma 120.00
loop_
_atom_site_label
_atom_site_type_symbol
_atom_site_fract_x
_atom_site_fract_y
_atom_site_fract_z
Mn1 Mn 0.0000 0.0000 0.0000
Al1 Al 0.0460 0.2047 0.6839
Pd1 Pd 0.0473 0.2505 0.9312
Pd2 Pd 0.0600 0.2474 0.4255

***

4.
# MnAlPd3 (PBE-GGA, relaxed)
# E_form: 0.82 eV per atom
# Density of states at the Fermi level: 6.852 states/eV/f.u.
# Calculated volume: 18.8 Å³ per atom
data_MnAlPd3
_chemical_formula_sum 'Mn1 Al1 Pd3'
_space_group_name_H-M_alt 'P m -3 m'
_space_group_IT_number 221
_space_group_name_Hall '-P 4 2 3'
_cell_length_a 4.547
_cell_length_b 4.547
_cell_length_c 4.547
_cell_angle_alpha 90.00
_cell_angle_beta 90.00
_cell_angle_gamma 90.00
loop_
_atom_site_label
_atom_site_type_symbol
_atom_site_fract_x
_atom_site_fract_y
_atom_site_fract_z
Mn1 Mn 0.000 0.000 0.000
Al1 Al 0.500 0.500 0.500
Pd1 Pd 0.000 0.000 0.500

***

5.
# MnAl3Pd4 (PBE-GGA, relaxed)
# E_form: -0.73 eV per atom
# Density of states at the Fermi level: 3.322 states/eV/f.u.
# Calculated volume: 14.7 Å³ per atom
data_MnAl3Pd4
_chemical_formula_sum 'Mn3 Al9 Pd12'
_space_group_name_H-M_alt 'R -3 m'
_space_group_IT_number 166
_space_group_name_Hall '-R 3 2"'
_cell_length_a 4.3621
_cell_length_b 4.3621
_cell_length_c 21.3637
_cell_angle_alpha 90.00
_cell_angle_beta 90.00
_cell_angle_gamma 120.00
loop_
_atom_site_label
_atom_site_type_symbol
_atom_site_fract_x
_atom_site_fract_y
_atom_site_fract_z
Mn1 Mn 0.0000 0.0000 0.0000
Al1 Al 0.0000 0.0000 0.2530
Al2 Al 0.0000 0.0000 0.5000
Pd1 Pd 0.0000 0.0000 0.1280
Pd2 Pd 0.0000 0.0000 0.3787

***

6.
# Mn2AlPd3 (PBE-GGA, relaxed)
# E_form: -0.43 eV per atom
# Density of states at the Fermi level: 2.471 states/eV/f.u.
# Calculated volume: 14.9 Å³ per atom
data_Mn2AlPd3
_chemical_formula_sum 'Mn4 Al2 Pd6'
_space_group_name_H-M_alt 'C m m m'
_space_group_IT_number 65
_space_group_name_Hall '-C 2 2'
_cell_length_a 4.145
_cell_length_b 12.203
_cell_length_c 3.531
_cell_angle_alpha 90.00
_cell_angle_beta 90.00
_cell_angle_gamma 90.00
loop_
_atom_site_label
_atom_site_type_symbol
_atom_site_fract_x
_atom_site_fract_y
_atom_site_fract_z
Mn1 Mn 0.000 0.167 0.000
Al1 Al 0.000 0.500 0.000
Pd1 Pd 0.000 0.000 0.500
Pd2 Pd 0.000 0.336 0.500

***

7.
# MnAlPd4 (PBE-GGA, relaxed)
# E_form: -0.52 eV per atom
# Density of states at the Fermi level: 1.535 states/eV/f.u.
# Calculated volume: 14.9 Å³ per atom
data_MnAlPd4
_chemical_formula_sum 'Mn2 Al2 Pd8'
_space_group_name_H-M_alt 'C m m m'
_space_group_IT_number 65
_space_group_name_Hall '-C 2 2'
_cell_length_a 4.159
_cell_length_b 10.335
_cell_length_c 4.160
_cell_angle_alpha 90.00
_cell_angle_beta 90.00
_cell_angle_gamma 90.00
loop_
_atom_site_label
_atom_site_type_symbol
_atom_site_fract_x
_atom_site_fract_y
_atom_site_fract_z
Mn1 Mn 0.000 0.000 0.000
Al1 Al 0.000 0.500 0.500
Pd1 Pd 0.000 0.154 0.500
Pd2 Pd 0.000 0.346 0.000

***

8.
# Mn2Al2Pd (PBE-GGA, relaxed)
# E_form: -0.12 eV per atom
# Density of states at the Fermi level: 4.656 states/eV/f.u.
# Calculated volume: 13.7 Å³ per atom
data_Mn2Al2Pd
_chemical_formula_sum 'Mn4 Al4 Pd2'
_space_group_name_H-M_alt 'P 4/m b m'
_space_group_IT_number 127
_space_group_name_Hall '-P 4 2ab'
_cell_length_a 7.055
_cell_length_b 7.055
_cell_length_c 2.751
_cell_angle_alpha 90.00
_cell_angle_beta 90.00
_cell_angle_gamma 90.00
loop_
_atom_site_label
_atom_site_type_symbol
_atom_site_fract_x
_atom_site_fract_y
_atom_site_fract_z
Mn1 Mn 0.103 0.397 0.000
Al1 Al 0.191 0.691 0.500
Pd1 Pd 0.000 0.000 0.000

***

9.
# MnAl2Pd9 (PBE-GGA, relaxed)
# E_form: -0.48 eV per atom
# Density of states at the Fermi level: 12.485 states/eV/f.u.
# Calculated volume: 14.9 Å³ per atom
data_MnAl2Pd9
_chemical_formula_sum 'Mn1 Al2 Pd9'
_space_group_name_H-M_alt 'P 4/m m m'
_space_group_IT_number 123
_space_group_name_Hall '-P 4 2'
_cell_length_a 3.920
_cell_length_b 3.920
_cell_length_c 11.670
_cell_angle_alpha 90.00
_cell_angle_beta 90.00
_cell_angle_gamma 90.00
loop_
_atom_site_label
_atom_site_type_symbol
_atom_site_fract_x
_atom_site_fract_y
_atom_site_fract_z
Mn1 Mn 0.000 0.000 0.000
Al1 Al 0.000 0.000 0.335
Pd1 Pd 0.000 0.500 0.169
Pd2 Pd 0.000 0.500 0.500
Pd3 Pd 0.500 0.500 0.000
Pd4 Pd 0.500 0.500 0.334

***

10.
# MnAl5Pd6 (PBE-GGA, relaxed)
# E_form: -0.78 eV per atom
# Density of states at the Fermi level: 4.491 states/eV/f.u.
# Calculated volume: 14.6 Å³ per atom
data_MnAl5Pd6
_chemical_formula_sum 'Mn1 Al5 Pd6'
_space_group_name_H-M_alt 'P 1 2/m 1'
_space_group_IT_number 10
_space_group_name_Hall '-P 2y'
_cell_length_a 4.316
_cell_length_b 6.282
_cell_length_c 6.820
_cell_angle_alpha 90.00
_cell_angle_beta 108.26
_cell_angle_gamma 90.00
loop_
_atom_site_label
_atom_site_type_symbol
_atom_site_fract_x
_atom_site_fract_y
_atom_site_fract_z
Mn1 Mn 0.000 0.000 0.000
Al1 Al 0.000 0.500 0.000
Al2 Al 0.333 0.500 0.667
Al3 Al 0.337 0.000 0.675
Pd1 Pd 0.170 0.252 0.340
Pd2 Pd 0.500 0.261 0.000

***

11.
# Mn3AlPd (PBE-GGA, relaxed)
# E_form: 0.99 eV per atom
# Density of states at the Fermi level: 6.122 states/eV/f.u.
# Calculated volume: 18.6 Å³ per atom
data_Mn3AlPd
_chemical_formula_sum 'Mn3 Al1 Pd1'
_space_group_name_H-M_alt 'P m -3 m'
_space_group_IT_number 221
_space_group_name_Hall '-P 4 2 3'
_cell_length_a 4.530
_cell_length_b 4.530
_cell_length_c 4.530
_cell_angle_alpha 90.00
_cell_angle_beta 90.00
_cell_angle_gamma 90.00
loop_
_atom_site_label
_atom_site_type_symbol
_atom_site_fract_x
_atom_site_fract_y
_atom_site_fract_z
Mn1 Mn 0.000 0.000 0.500
Al1 Al 0.000 0.000 0.000
Pd1 Pd 0.500 0.500 0.500

***

12.
# MnAl4Pd3 (PBE-GGA, relaxed)
# E_form: -0.70 eV per atom
# Density of states at the Fermi level: 3.800 states/eV/f.u.
# Calculated volume: 14.2 Å³ per atom
data_MnAl4Pd3
_chemical_formula_sum 'Mn1 Al4 Pd3'
_space_group_name_H-M_alt 'P 4/m m m'
_space_group_IT_number 123
_space_group_name_Hall '-P 4 2'
_cell_length_a 2.959
_cell_length_b 2.959
_cell_length_c 12.960
_cell_angle_alpha 90.00
_cell_angle_beta 90.00
_cell_angle_gamma 90.00
loop_
_atom_site_label
_atom_site_type_symbol
_atom_site_fract_x
_atom_site_fract_y
_atom_site_fract_z
Mn1 Mn 0.000 0.000 0.000
Al1 Al 0.500 0.500 0.120
Al2 Al 0.500 0.500 0.374
Pd1 Pd 0.000 0.000 0.248
Pd2 Pd 0.000 0.000 0.500

***

13.
# MnAl2Pd (PBE-GGA, relaxed)
# E_form: -0.08 eV per atom
# Density of states at the Fermi level: 1.582 states/eV/f.u.
# Calculated volume: 16.0 Å³ per atom
data_MnAl2Pd
_chemical_formula_sum 'Mn4 Al8 Pd4'
_space_group_name_H-M_alt 'I -4 2 d'
_space_group_IT_number 122
_space_group_name_Hall 'I -4 2bw'
_cell_length_a 6.837
_cell_length_b 6.837
_cell_length_c 5.469
_cell_angle_alpha 90.00
_cell_angle_beta 90.00
_cell_angle_gamma 90.00
loop_
_atom_site_label
_atom_site_type_symbol
_atom_site_fract_x
_atom_site_fract_y
_atom_site_fract_z
Mn1 Mn 0.000 0.000 0.000
Al1 Al 0.241 0.250 0.625
Pd1 Pd 0.000 0.000 0.500

***

14.
# Mn2Al2Pd (PBE-GGA, relaxed)
# E_form: -0.19 eV per atom
# Density of states at the Fermi level: 3.726 states/eV/f.u.
# Calculated volume: 14.4 Å³ per atom
data_Mn2Al2Pd
_chemical_formula_sum 'Mn4 Al4 Pd2'
_space_group_name_H-M_alt 'P 4/m b m'
_space_group_IT_number 127
_space_group_name_Hall '-P 4 2ab'
_cell_length_a 6.928
_cell_length_b 6.928
_cell_length_c 2.995
_cell_angle_alpha 90.00
_cell_angle_beta 90.00
_cell_angle_gamma 90.00
loop_
_atom_site_label
_atom_site_type_symbol
_atom_site_fract_x
_atom_site_fract_y
_atom_site_fract_z
Mn1 Mn 0.160 0.340 0.000
Al1 Al 0.137 0.637 0.500
Pd1 Pd 0.000 0.000 0.500

***

15.
# MnAlPd6 (PBE-GGA, relaxed)
# E_form: -0.41 eV per atom
# Density of states at the Fermi level: 9.895 states/eV/f.u.
# Calculated volume: 15.0 Å³ per atom
data_MnAlPd6
_chemical_formula_sum 'Mn1 Al1 Pd6'
_space_group_name_H-M_alt 'P 4/m m m'
_space_group_IT_number 123
_space_group_name_Hall '-P 4 2'
_cell_length_a 3.921
_cell_length_b 3.921
_cell_length_c 7.786
_cell_angle_alpha 90.00
_cell_angle_beta 90.00
_cell_angle_gamma 90.00
loop_
_atom_site_label
_atom_site_type_symbol
_atom_site_fract_x
_atom_site_fract_y
_atom_site_fract_z
Mn1 Mn 0.000 0.000 0.000
Al1 Al 0.000 0.000 0.500
Pd1 Pd 0.000 0.500 0.253
Pd2 Pd 0.500 0.500 0.000
Pd3 Pd 0.500 0.500 0.500

***

16.
# Pr2MnAlPd6 (PBE-GGA, relaxed)
# E_form: -0.56 eV per atom
# Density of states at the Fermi level: 4.005 states/eV/f.u.
# Calculated volume: 20.2 Å³ per atom
data_Pr2MnAlPd6
_chemical_formula_sum 'Pr4 Mn2 Al2 Pd12'
_space_group_name_H-M_alt 'C 1 2/m 1'
_space_group_IT_number 12
_space_group_name_Hall '-C 2y'
_cell_length_a 11.891
_cell_length_b 5.538
_cell_length_c 8.500
_cell_angle_alpha 90.00
_cell_angle_beta 133.79
_cell_angle_gamma 90.00
loop_
_atom_site_label
_atom_site_type_symbol
_atom_site_fract_x
_atom_site_fract_y
_atom_site_fract_z
Pr1 Pr 0.244 0.000 0.216
Mn1 Mn 0.000 0.500 0.000
Al1 Al 0.000 0.000 0.500
Pd1 Pd 0.015 0.250 0.760
Pd2 Pd 0.250 0.000 0.592

***

17.
# Sc2Mn2Al5Pd (PBE-GGA, relaxed)
# E_form: -0.31 eV per atom
# Density of states at the Fermi level: 7.989 states/eV/f.u.
# Calculated volume: 16.5 Å³ per atom
data_Sc2Mn2Al5Pd
_chemical_formula_sum 'Sc4 Mn4 Al10 Pd2'
_space_group_name_H-M_alt 'P 4/m b m'
_space_group_IT_number 127
_space_group_name_Hall '-P 4 2ab'
_cell_length_a 10.673
_cell_length_b 10.673
_cell_length_c 2.900
_cell_angle_alpha 90.00
_cell_angle_beta 90.00
_cell_angle_gamma 90.00
loop_
_atom_site_label
_atom_site_type_symbol
_atom_site_fract_x
_atom_site_fract_y
_atom_site_fract_z
Sc1 Sc 0.186 0.314 0.000
Mn1 Mn 0.133 0.633 0.000
Al1 Al 0.000 0.500 0.500
Al2 Al 0.050 0.804 0.500
Pd1 Pd 0.000 0.000 0.000

***

18.
# Ti5Mn2Al2Pd (PBE-GGA, relaxed)
# E_form: -0.22 eV per atom
# Density of states at the Fermi level: 9.632 states/eV/f.u.
# Calculated volume: 15.9 Å³ per atom
data_Ti5Mn2Al2Pd
_chemical_formula_sum 'Ti10 Mn4 Al4 Pd2'
_space_group_name_H-M_alt 'P 4/m b m'
_space_group_IT_number 127
_space_group_name_Hall '-P 4 2ab'
_cell_length_a 10.185
_cell_length_b 10.185
_cell_length_c 3.067
_cell_angle_alpha 90.00
_cell_angle_beta 90.00
_cell_angle_gamma 90.00
loop_
_atom_site_label
_atom_site_type_symbol
_atom_site_fract_x
_atom_site_fract_y
_atom_site_fract_z
Ti1 Ti 0.000 0.500 0.000
Ti2 Ti 0.074 0.203 0.000
Mn1 Mn 0.133 0.367 0.500
Al1 Al 0.172 0.672 0.500
Pd1 Pd 0.000 0.000 0.500

***

19.
# Ti2MnAlPd (PBE-GGA, relaxed)
# E_form: 0.93 eV per atom
# Density of states at the Fermi level: 10.824 states/eV/f.u.
# Calculated volume: 19.9 Å³ per atom
data_Ti2MnAlPd
_chemical_formula_sum 'Ti2 Mn1 Al1 Pd1'
_space_group_name_H-M_alt 'P 4/m m m'
_space_group_IT_number 123
_space_group_name_Hall '-P 4 2'
_cell_length_a 4.708
_cell_length_b 4.708
_cell_length_c 4.496
_cell_angle_alpha 90.00
_cell_angle_beta 90.00
_cell_angle_gamma 90.00
loop_
_atom_site_label
_atom_site_type_symbol
_atom_site_fract_x
_atom_site_fract_y
_atom_site_fract_z
Ti1 Ti 0.000 0.500 0.000
Mn1 Mn 0.000 0.000 0.500
Al1 Al 0.500 0.500 0.500
Pd1 Pd 0.500 0.500 0.000

***

20.
# MnAlZnPd2 (PBE-GGA, relaxed)
# E_form: 0.37 eV per atom
# Density of states at the Fermi level: 2.946 states/eV/f.u.
# Calculated volume: 19.1 Å³ per atom
data_MnAlZnPd2
_chemical_formula_sum 'Mn1 Al1 Zn1 Pd2'
_space_group_name_H-M_alt 'P 4/m m m'
_space_group_IT_number 123
_space_group_name_Hall '-P 4 2'
_cell_length_a 4.571
_cell_length_b 4.571
_cell_length_c 4.574
_cell_angle_alpha 90.00
_cell_angle_beta 90.00
_cell_angle_gamma 90.00
loop_
_atom_site_label
_atom_site_type_symbol
_atom_site_fract_x
_atom_site_fract_y
_atom_site_fract_z
Mn1 Mn 0.000 0.000 0.000
Al1 Al 0.500 0.500 0.500
Zn1 Zn 0.500 0.500 0.000
Pd1 Pd 0.000 0.500 0.500

***

21.
# PmMnAl (PBE-GGA, relaxed)
# E_form: -0.15 eV per atom
# Density of states at the Fermi level: 2.610 states/eV/f.u.
# Calculated volume: 21.1 Å³ per atom
data_PmMnAl
_chemical_formula_sum 'Pm4 Mn4 Al4'
_space_group_name_H-M_alt 'P n m a'
_space_group_IT_number 62
_space_group_name_Hall '-P 2ac 2n'
_cell_length_a 7.669
_cell_length_b 4.547
_cell_length_c 7.261
_cell_angle_alpha 90.00
_cell_angle_beta 90.00
_cell_angle_gamma 90.00
loop_
_atom_site_label
_atom_site_type_symbol
_atom_site_fract_x
_atom_site_fract_y
_atom_site_fract_z
Pm1 Pm 0.008 0.250 0.180
Mn1 Mn 0.132 0.750 0.440
Al1 Al 0.198 0.250 0.614

***

22.
# PmMnAl3 (PBE-GGA, relaxed)
# E_form: -0.29 eV per atom
# Density of states at the Fermi level: 1.447 states/eV/f.u.
# Calculated volume: 19.2 Å³ per atom
data_PmMnAl3
_chemical_formula_sum 'Pm1 Mn1 Al3'
_space_group_name_H-M_alt 'P m -3 m'
_space_group_IT_number 221
_space_group_name_Hall '-P 4 2 3'
_cell_length_a 4.582
_cell_length_b 4.582
_cell_length_c 4.582
_cell_angle_alpha 90.00
_cell_angle_beta 90.00
_cell_angle_gamma 90.00
loop_
_atom_site_label
_atom_site_type_symbol
_atom_site_fract_x
_atom_site_fract_y
_atom_site_fract_z
Pm1 Pm 0.000 0.000 0.000
Mn1 Mn 0.500 0.500 0.500
Al1 Al 0.000 0.500 0.500